Density functional theory data (PBE) for a geometry-optimized CsAgH2 structure.

abc: 6.1035 6.1035 6.0507
angles: 59.71 59.71 90.00
Closest atoms and distances in Å follow each position.
Fractional coordinates of all 8 atoms:
Cs1 0.7500 0.2500 0.5000  12 H 3.39-3.76, 4 Ag 3.72, 4 Cs 3.72
H1 0.3750 0.5889 0.7500  2 Ag 1.87
H2 0.3389 0.6250 0.2500  2 Ag 1.87
Ag1 0.5000 0.5000 0.0000  4 H 1.87
H3 0.4111 0.1250 0.2500  2 Ag 1.87
Ag2 0.2500 0.7500 0.5000  4 H 1.87
Cs2 0.0000 0.0000 0.0000  12 H 3.39-3.76, 4 Ag 3.72, 4 Cs 3.72
H4 0.8750 0.6611 0.7500  2 Ag 1.87

Calculated values
Distance to the lowest polymorph of the same formula in meV per atom: 0
Space-group type: No. 122

Density functional theory data (PBE) for a geometry-optimized Cs2Ag2H structure.

abc: 3.9702 3.9702 10.4306
angles: 79.03 79.03 90.00
Closest atoms and distances in Å follow each position.
Fractional coordinates of all 5 atoms:
H1 0.0000 0.0000 0.0000  8 Cs 3.38
Ag1 0.2500 0.7500 0.5000  4 Ag 2.81
Ag2 0.7500 0.2500 0.5000  4 Ag 2.81
Cs1 0.5939 0.5939 0.8123  4 H 3.38, 4 Ag 3.71, 1 Cs 3.77
Cs2 0.4061 0.4061 0.1877  4 H 3.38, 4 Ag 3.71, 1 Cs 3.77

Calculated values
Distance to the lowest polymorph of the same formula in meV per atom: 0
Space-group type: No. 139

Density functional theory data (PBE) for a geometry-optimized Cs2Ag2H structure.

abc: 7.0738 7.0738 6.0966
angles: 54.54 54.54 90.00
Closest atoms and distances in Å follow each position.
Fractional coordinates of all 5 atoms:
Cs1 0.7500 0.2500 0.5000  2 Cs 3.49, 4 Ag 3.55
H1 0.0000 0.0000 0.0000  2 Ag 2.05
Cs2 0.2500 0.7500 0.5000  2 Cs 3.49, 4 Ag 3.55
Ag1 0.7054 0.7054 0.5892  1 H 2.05
Ag2 0.2946 0.2946 0.4108  1 H 2.05

Calculated values
Distance to the lowest polymorph of the same formula in meV per atom: 192
Space-group type: No. 139

Density functional theory data (PBE) for a geometry-optimized CsAg2H structure.

abc: 5.4445 5.4445 5.4445
angles: 60.00 60.00 60.00
Closest atoms and distances in Å follow each position.
Fractional coordinates of all 4 atoms:
Ag1 0.2500 0.2500 0.2500  4 H 3.33, 4 Cs 3.33
Ag2 0.7500 0.7500 0.7500  4 H 3.33, 4 Cs 3.33
Cs1 0.5000 0.5000 0.5000  8 Ag 3.33
H1 0.0000 0.0000 0.0000  8 Ag 3.33

Calculated values
Space-group type: No. 225

Number 1: M_tot 0.0 μB/f.u., uncorrected energy -2.683 eV/atom. Number 2: M_tot 0.0 μB/f.u., uncorrected energy -2.112 eV/atom. Number 3: M_tot 0.0 μB/f.u., uncorrected energy -1.920 eV/atom. Number 4: M_tot 0.0 μB/f.u., uncorrected energy -1.514 eV/atom.